Density functional theory data (PBE) for Ac8Ho2Er after structural relaxation.

Summary:
* DFT formation energy: 1.56 eV/f.u.
* raw total energy: -4.093 eV/atom
* calculated volume: 41.90 A^3/atom

Cell and atoms, written as POSCAR:
```
Ac8Ho2Er
1.0
-1.875 -5.345 1.265
-2.623 -1.243 -9.139
9.752 0.251 2.196
Ac Ho Er
8 2 1
Cartesian
6.060 -5.956 -2.871
-0.805 -0.382 -2.806
2.220 -0.901 -0.516
0.632 -3.974 -2.542
5.733 -1.837 0.733
4.623 -2.363 -3.135
-0.478 -4.500 -6.411
3.035 -5.437 -5.161
1.730 -1.855 -5.275
3.525 -4.483 -0.402
-0.937 -2.673 0.633
```



Density functional theory data (PBE) for AcHo3Er8 after structural relaxation.

Summary:
* DFT formation energy: 4.05 eV/f.u.
* raw total energy: -4.192 eV/atom
* calculated volume: 34.32 A^3/atom

Cell and atoms, written as POSCAR:
```
AcHo3Er8
1.0
7.064 0.600 -5.002
-2.901 8.069 -1.325
-1.798 -0.600 8.467
Ho Er Ac
3 8 1
Cartesian
0.981 6.083 -1.491
4.714 4.334 -1.431
1.384 1.985 3.631
-2.791 7.091 4.240
-1.976 1.696 5.945
2.384 2.298 -0.831
-0.462 3.390 0.703
-0.021 5.773 2.974
5.154 0.978 -2.102
2.828 4.679 1.437
4.343 6.370 -3.809
5.266 0.000 3.465
```



Density functional theory data (PBE) for AcHoEr2 after structural relaxation.

Summary:
* DFT formation energy: 0.51 eV/f.u.
* raw total energy: -4.324 eV/atom
* energy relative to the lowest polymorph listed for this composition: 0.309 eV/f.u.
* calculated volume: 34.25 A^3/atom

Cell and atoms, written as POSCAR:
```
AcHoEr2
1.0
-1.668 0.534 -5.515
3.605 -1.498 -4.272
-1.072 -4.722 -3.169
Er Ac Ho
2 1 1
Cartesian
0.216 -1.421 -3.239
0.648 -4.264 -9.717
0.432 -2.842 -6.478
0.000 0.000 0.000
```



Density functional theory data (PBE) for AcHo8Er6 after structural relaxation.

Summary:
* DFT formation energy: 3.25 eV/f.u.
* raw total energy: -4.324 eV/atom
* energy relative to the lowest polymorph listed for this composition: 0.919 eV/f.u.
* calculated volume: 33.08 A^3/atom

Cell and atoms, written as POSCAR:
```
AcHo8Er6
1.0
6.382 0.000 0.000
0.000 8.205 -4.737
0.000 0.000 9.475
Ho Er Ac
8 6 1
Cartesian
5.363 2.735 4.737
5.825 5.617 3.002
0.558 0.209 6.366
5.825 2.797 -1.373
1.019 5.470 0.000
0.558 2.588 1.736
0.558 5.408 6.111
5.825 7.996 -1.628
3.747 5.585 -2.213
3.747 3.496 1.007
2.635 2.620 6.951
2.635 4.709 3.730
2.635 0.876 3.531
3.747 7.329 1.206
3.191 0.000 0.000
```



Density functional theory data (PBE) for AcHo4Er8 after structural relaxation.

Summary:
* DFT formation energy: 1.41 eV/f.u.
* raw total energy: -4.424 eV/atom
* calculated volume: 32.16 A^3/atom

Cell and atoms, written as POSCAR:
```
AcHo4Er8
1.0
5.973 0.654 -1.169
-3.125 4.900 -1.922
1.851 1.548 12.337
Er Ho Ac
8 4 1
Cartesian
1.192 2.940 2.249
2.541 5.570 0.786
0.686 4.642 8.975
2.087 5.763 4.431
3.507 4.163 6.997
2.611 1.340 4.815
4.013 2.461 0.271
2.158 1.533 8.460
0.733 1.429 -0.795
-0.720 4.627 -0.197
2.115 4.126 -2.296
5.419 2.476 9.443
-0.637 3.224 5.208
```



Density functional theory data (PBE) for AcHo7Er4 after structural relaxation.

Summary:
* DFT formation energy: 0.17 eV/f.u.
* raw total energy: -4.519 eV/atom
* energy relative to the lowest polymorph listed for this composition: 0.000 eV/f.u.
* calculated volume: 31.82 A^3/atom

Cell and atoms, written as POSCAR:
```
AcHo7Er4
1.0
6.872 1.879 0.884
5.094 7.607 2.454
-1.015 -0.448 8.764
Er Ho Ac
4 7 1
Cartesian
8.249 6.986 8.373
6.995 6.327 5.195
2.702 2.052 3.728
3.956 2.710 6.907
7.737 5.224 1.895
3.502 5.372 4.746
3.215 3.814 10.207
6.127 3.009 4.205
4.824 6.028 7.897
3.436 0.939 0.442
7.449 3.666 7.356
0.000 0.000 0.000
```



Density functional theory data (PBE) for AcHo9Er2 after structural relaxation.

Summary:
* DFT formation energy: 0.48 eV/f.u.
* raw total energy: -4.496 eV/atom
* calculated volume: 31.88 A^3/atom

Cell and atoms, written as POSCAR:
```
AcHo9Er2
1.0
5.030 0.000 0.000
0.000 5.030 0.000
0.000 0.000 15.120
Ho Er Ac
9 2 1
Cartesian
2.515 2.515 0.000
2.515 2.515 5.109
0.000 2.515 2.641
0.000 2.515 7.560
2.515 2.515 10.011
2.515 0.000 7.560
2.515 0.000 12.479
2.515 0.000 2.641
0.000 2.515 12.479
0.000 0.000 10.033
0.000 0.000 5.087
0.000 0.000 0.000
```



Density functional theory data (PBE) for AcHo15Er4 after structural relaxation.

Summary:
* DFT formation energy: 0.64 eV/f.u.
* raw total energy: -4.519 eV/atom
* calculated volume: 31.41 A^3/atom

Cell and atoms, written as POSCAR:
```
AcHo15Er4
1.0
-2.591 3.329 2.698
0.989 -2.604 4.161
20.861 13.439 3.449
Er Ho Ac
4 15 1
Cartesian
12.492 8.047 2.065
16.621 10.707 2.748
4.240 2.731 0.701
8.369 5.391 1.384
19.154 10.718 5.166
9.135 8.384 3.074
6.803 2.762 3.124
13.257 11.039 3.755
17.364 13.685 4.434
10.925 5.418 3.805
-0.801 0.363 3.430
3.462 3.109 4.135
15.047 8.073 4.487
11.692 8.411 5.495
5.014 5.729 2.392
7.567 5.753 4.814
0.907 3.083 1.713
15.798 11.055 6.174
2.696 0.117 2.445
0.000 0.000 0.000
```



Density functional theory data (PBE) for AcHo2Er2 after structural relaxation.

Summary:
* DFT formation energy: 0.78 eV/f.u.
* raw total energy: -4.321 eV/atom
* calculated volume: 34.69 A^3/atom

Cell and atoms, written as POSCAR:
```
AcHo2Er2
1.0
3.622 0.000 0.000
-1.811 8.347 0.000
0.000 0.000 11.475
Ho Ac Er
4 2 4
Cartesian
1.811 4.234 3.495
0.000 4.113 9.233
1.811 7.370 2.283
0.000 0.977 8.021
0.000 6.675 5.911
1.811 1.671 0.174
0.000 4.908 0.810
1.811 6.913 10.281
0.000 1.434 4.544
1.811 3.439 6.548
```



Density functional theory data (PBE) for AcHo3Er3 after structural relaxation.

Summary:
* DFT formation energy: 1.71 eV/f.u.
* raw total energy: -4.260 eV/atom
* calculated volume: 34.07 A^3/atom

Cell and atoms, written as POSCAR:
```
AcHo3Er3
1.0
-6.202 6.202 6.202
6.202 -6.202 6.202
6.202 6.202 -6.202
Ho Er Ac
12 12 4
Cartesian
-1.242 8.748 1.242
1.242 3.656 1.242
8.748 -1.242 1.242
1.242 8.748 -1.242
-1.242 1.242 8.748
3.656 1.242 1.242
4.960 -2.546 4.960
-2.546 4.960 4.960
4.960 4.960 -2.546
1.242 -1.242 8.748
1.242 1.242 3.656
8.748 1.242 -1.242
1.636 5.425 -1.636
1.636 6.978 1.636
0.777 4.566 4.566
-1.636 1.636 5.425
4.566 4.566 0.777
5.425 -1.636 1.636
-1.636 5.425 1.636
4.566 0.777 4.566
1.636 1.636 6.978
6.978 1.636 1.636
1.636 -1.636 5.425
5.425 1.636 -1.636
1.625 1.625 -1.625
-1.625 1.625 1.625
4.577 4.577 4.577
1.625 -1.625 1.625
```



Density functional theory data (PBE) for AcHo2Er after structural relaxation.

Summary:
* DFT formation energy: 0.44 eV/f.u.
* raw total energy: -4.347 eV/atom
* energy relative to the lowest polymorph listed for this composition: 0.247 eV/f.u.
* calculated volume: 34.67 A^3/atom

Cell and atoms, written as POSCAR:
```
AcHo2Er
1.0
4.078 0.000 0.000
0.000 4.078 0.000
0.000 0.000 8.339
Ho Ac Er
2 1 1
Cartesian
0.000 0.000 6.508
0.000 0.000 1.831
2.039 2.039 4.170
2.039 2.039 0.000
```



Density functional theory data (PBE) for AcHoEr after structural relaxation.

Summary:
* DFT formation energy: 0.21 eV/f.u.
* raw total energy: -4.347 eV/atom
* energy relative to the lowest polymorph listed for this composition: 0.052 eV/f.u.
* calculated volume: 35.10 A^3/atom

Cell and atoms, written as POSCAR:
```
AcHoEr
1.0
3.712 0.000 0.000
0.000 3.712 0.000
-1.856 -1.856 7.641
Ho Ac Er
1 1 1
Cartesian
1.856 1.856 2.652
1.856 1.856 7.638
0.000 0.000 4.992
```



- Which of these has the highest DFT formation energy?
  AcHo3Er8